Ce2Dy5Ga4: optimized geometry, GGA-PBE.

a b c (Å): 3.6177 8.3693 10.9186
angles (deg): 112.54 99.54 90.00
With the nearest neighbours (Å) after each atom.
Element x y z (fractional)
Ce  0.5700  0.5700  0.1400  1 Ce 2.78, 5 Ga 2.95-3.00
Ce  0.4300  0.4300  0.8600  1 Ce 2.78, 5 Ga 2.95-3.00
Dy  0.1617  0.3807  0.3233  4 Ga 3.00-3.23
Dy  0.8383  0.6193  0.6767  4 Ga 3.00-3.23
Dy  0.1617  0.9426  0.3233  4 Ga 3.00-3.23
Dy  0.5000  0.0000  0.0000  4 Ga 2.88
Dy  0.8383  0.0574  0.6767  4 Ga 3.00-3.23
Ga  0.7189  0.7189  0.4378  1 Ce 2.95, 6 Dy 3.00-3.18
Ga  0.0000  0.2679  0.0000  2 Dy 2.88, 4 Ce 3.00
Ga  0.2811  0.2811  0.5622  1 Ce 2.95, 6 Dy 3.00-3.18
Ga  0.0000  0.7321  0.0000  2 Dy 2.88, 4 Ce 3.00

Output
DOS at the Fermi energy (states/eV/cell): 14.2
Formation energy from the elements (kJ/mol of formula units): -260
Total DFT energy (no corrections) (eV for the cell shown): -49.68